Entry 1:
4
Lattice="-2.6852 2.6852 6.8133 2.6852 -2.6852 6.8133 2.6852 2.6852 -6.8133" Properties=species:S:1:pos:R:3 comment="KSr2Cl PBE relaxed" de_polymorph_kj_per_mol_fu=153.0 e_form_raw_ev_per_atom=-0.43 crystal_system=tetragonal space_group="I4/mmm (139)" pbc="T T T"
K 0.0000 0.0000 0.0000
Sr 2.6852 0.0000 3.4066
Sr 0.0000 2.6852 3.4066
Cl 0.0000 0.0000 6.8133

Entry 2:
5
Lattice="-1.5713 1.5713 6.7946 1.5713 -1.5713 6.7946 1.5713 1.5713 -6.7946" Properties=species:S:1:pos:R:3 comment="Be2SnRh2 PBE relaxed" de_polymorph_kj_per_mol_fu=47.9 ef_ev_per_atom=-0.326 crystal_system=tetragonal space_group="I4/mmm (139)" pbc="T T T"
Be 1.5713 0.0000 3.3973
Be 0.0000 1.5713 3.3973
Sn 0.0000 0.0000 0.0000
Rh 0.0000 0.0000 5.1716
Rh 0.0000 0.0000 8.4175

Entry 3:
10
Lattice="6.6023 0.0000 0.0000 0.0000 6.6023 0.0000 0.0000 0.0000 3.8461" Properties=species:S:1:pos:R:3 comment="Zn2SbRu2 PBE relaxed" e_form_raw_ev_per_atom=0.06 crystal_system=tetragonal space_group="P4/mbm (127)" pbc="T T T"
Zn 0.9704 2.3308 0.0000
Zn 2.3308 5.6319 0.0000
Zn 4.2715 0.9704 0.0000
Zn 5.6319 4.2715 0.0000
Sb 0.0000 0.0000 1.9230
Sb 3.3011 3.3011 1.9230
Ru 0.9578 4.2589 1.9230
Ru 2.3434 0.9578 1.9230
Ru 4.2589 5.6445 1.9230
Ru 5.6445 2.3434 1.9230

Entry 4:
22
Lattice="3.7187 -7.2060 0.0000 3.7187 7.2060 0.0000 0.0000 0.0000 5.3429" Properties=species:S:1:pos:R:3 comment="Ho3TaO7 PBE relaxed" de_polymorph_kj_per_mol_fu=262.2 e_form_raw_ev_per_atom=-3.19 crystal_system=orthorhombic space_group="Cmme (67)" pbc="T T T"
Ho 1.8593 3.6030 2.6715
Ho 3.7187 5.4743 5.1936
Ho 3.7187 1.7316 5.1936
Ho 1.8593 -3.6030 2.6715
Ho 3.7187 -1.7316 0.1494
Ho 3.7187 -5.4743 0.1494
Ta 1.8593 0.0000 2.6715
Ta 5.5780 0.0000 2.6715
O 3.7187 7.0161 3.8037
O 1.6170 1.7307 3.9347
O 2.1017 1.7307 1.4082
O 3.7187 3.6030 3.9737
O 1.6170 -1.7307 1.4082
O 2.1017 -1.7307 3.9347
O 3.7187 0.1899 3.8037
O 3.7187 -0.1899 1.5392
O 5.3356 1.7307 1.4082
O 5.8204 1.7307 3.9347
O 3.7187 -3.6030 1.3693
O 5.3356 -1.7307 3.9347
O 5.8204 -1.7307 1.4082
O 3.7187 -7.0161 1.5392

| no. | magnetic moment (μB/f.u.) | calculated density (g/cm³) |
| --- | --- | --- |
| 1 | 0.00 | 2.11 |
| 2 | 0.00 | 8.48 |
| 3 | 0.00 | 9.01 |
| 4 | 0.00 | 9.14 |